Compound: PmSm2PuN4
Source: Alexandria via LeMat-Bulk
Functional: PBE-GGA
Structure: relaxed

abc: 3.5676 6.1568 6.1533
angles: 109.33 90.00 90.00
With the nearest neighbours (Å) after each atom.
Fractional positions:
Pm  0.5000  0.5000  0.0000  6 N 2.52-2.53
N  0.5000  0.7642  0.7629  2 Pu 2.45, 3 Sm 2.51-2.59, 1 Pm 2.52
N  0.5000  0.2358  0.2371  2 Pu 2.45, 3 Sm 2.51-2.59, 1 Pm 2.52
N  0.0000  0.7593  0.2431  1 Pu 2.43, 3 Sm 2.52-2.59, 2 Pm 2.53
N  0.0000  0.2407  0.7569  1 Pu 2.43, 3 Sm 2.52-2.59, 2 Pm 2.53
Sm  0.0000  0.5000  0.5000  6 N 2.59
Sm  0.5000  0.0000  0.5000  6 N 2.51-2.52
Pu  0.0000  0.0000  0.0000  6 N 2.43-2.45

Summary:
The value obtained for the total magnetic moment is 4.7 μB/cell. The value obtained for the calculated volume is 15.94 Å³/atom. The calculation puts the formation energy from raw total energies at -11.27 eV per formula unit. Its space group is P2/m, No. 10.